# 1
Entry from Alexandria: a relaxed structure of PrNdO2 (PBE-GGA).

Lattice parameters (Å, degrees): 6.2556 6.2556 6.2556 33.21 33.21 33.21
Closest atoms and distances in Å follow each position.
Positions (direct):
Pr  0.5000  0.5000  0.5000  6 O 2.58
Nd  0.0000  0.0000  0.0000  6 O 2.50
O  0.2538  0.2538  0.2538  3 Nd 2.50, 3 Pr 2.58
O  0.7462  0.7462  0.7462  3 Nd 2.50, 3 Pr 2.58

Computed properties:
ΔE to the lowest computed polymorph	0	meV/atom

# 2
Entry from Alexandria: a relaxed structure of Pr2NdPtO5 (PBE-GGA).

Lattice parameters (Å, degrees): 5.8536 6.7950 6.7950 90.00 90.00 90.00
Closest atoms and distances in Å follow each position.
Positions (direct):
Pr  0.5000  0.6682  0.1682  4 O 2.31-2.53
Pr  0.5000  0.1682  0.3318  4 O 2.31-2.53
Pr  0.5000  0.8318  0.6682  4 O 2.31-2.53
Pr  0.5000  0.3318  0.8318  4 O 2.31-2.53
Nd  0.0000  0.5000  0.5000  10 O 2.93-2.97
Nd  0.0000  0.0000  0.0000  10 O 2.93-2.97
Pt  0.0000  0.0000  0.5000  4 O 2.03
Pt  0.0000  0.5000  0.0000  4 O 2.03
O  0.5000  0.5000  0.5000  4 Pr 2.53
O  0.5000  0.0000  0.0000  4 Pr 2.53
O  0.2475  0.1477  0.6477  1 Pt 2.03
O  0.2475  0.8523  0.3523  1 Pt 2.03
O  0.2475  0.3523  0.1477  1 Pt 2.03
O  0.2475  0.6477  0.8523  1 Pt 2.03
O  0.7525  0.1477  0.6477  1 Pt 2.03
O  0.7525  0.6477  0.8523  1 Pt 2.03
O  0.7525  0.8523  0.3523  1 Pt 2.03
O  0.7525  0.3523  0.1477  1 Pt 2.03

# 3
Entry from Alexandria: a relaxed structure of Pr2NdPuO8 (PBE-GGA).

Lattice parameters (Å, degrees): 4.0915 5.6063 7.6379 90.05 89.98 96.35
Closest atoms and distances in Å follow each position.
Positions (direct):
Pr  0.5000  0.4995  0.7445  8 O 2.33-2.58
Pr  0.5000  0.5005  0.2555  8 O 2.33-2.58
Nd  0.0000  0.0000  0.5000  8 O 2.36-2.61
Pu  0.0000  0.0000  0.0000  6 O 1.97-2.12
O  0.0479  0.7690  0.2158  1 Pu 2.12
O  0.5807  0.7903  0.0001  1 Pu 1.97
O  0.9515  0.2298  0.2153  1 Pu 2.11
O  0.9521  0.2310  0.7842  1 Pu 2.12
O  0.4193  0.2097  0.9999  1 Pu 1.97
O  0.0485  0.7702  0.7847  1 Pu 2.11
O  0.4981  0.7478  0.5004  2 Pr 2.33, 2 Nd 2.36-2.61
O  0.5019  0.2522  0.4996  2 Pr 2.33, 2 Nd 2.36-2.61

# 4
Entry from Alexandria: a relaxed structure of Rb3Pr2NdO6 (PBE-GGA).

Lattice parameters (Å, degrees): 6.3963 6.3963 6.9542 98.82 98.82 120.00
Closest atoms and distances in Å follow each position.
Positions (direct):
Rb  0.1664  0.8336  0.5000  6 O 2.99-3.01
Rb  0.8336  0.1664  0.5000  6 O 2.99-3.01
Rb  0.5000  0.5000  0.5000  6 O 2.99-3.01
Pr  0.3333  0.6667  0.0000  6 O 2.45
Pr  0.6667  0.3333  0.0000  6 O 2.45
Nd  0.0000  0.0000  0.0000  6 O 2.44
O  0.9394  0.6082  0.8183  1 Nd 2.44, 2 Pr 2.45
O  0.7293  0.7293  0.1817  1 Nd 2.44, 2 Pr 2.45
O  0.0606  0.3918  0.1817  1 Nd 2.44, 2 Pr 2.45
O  0.6082  0.9394  0.8183  1 Nd 2.44, 2 Pr 2.45
O  0.2707  0.2707  0.8183  1 Nd 2.44, 2 Pr 2.45
O  0.3918  0.0606  0.1817  1 Nd 2.44, 2 Pr 2.45

Number 1: raw total energy -7.59 eV/atom, uncorrected formation energy -2.724 eV per atom. Number 2: raw total energy -7.39 eV/atom, uncorrected formation energy -2.374 eV per atom. Number 3: raw total energy -8.66 eV/atom, uncorrected formation energy -2.966 eV per atom. Number 4: raw total energy -6.45 eV/atom, uncorrected formation energy -2.535 eV per atom.